1.
# CrHIN2

A geometry-optimized CrHIN2 structure (PBE, Alexandria via LeMat-Bulk).

POSCAR file:
```
CrHIN2
1.0
4.008 0.000 0.000
0.000 4.008 0.000
0.000 0.000 3.369
Cr H I N
1 1 1 2
Direct
0.000 0.000 0.000 Cr
0.500 0.500 0.500 H
0.500 0.500 0.000 I
0.000 0.500 0.500 N
0.500 0.000 0.500 N
```

Values from the calculation:
uncorrected energy: -3.905 eV per atom
symmetry: P4/mmm, No. 123


2.
# CrHIN2

A geometry-optimized CrHIN2 structure (PBE, Alexandria via LeMat-Bulk).

POSCAR file:
```
CrHIN2
1.0
3.595 0.000 0.000
0.000 3.595 0.000
0.000 0.000 5.650
Cr H I N
1 1 1 2
Direct
0.000 0.000 0.000 Cr
0.500 0.500 0.500 H
0.000 0.000 0.500 I
0.000 0.500 0.000 N
0.500 0.000 0.000 N
```

Values from the calculation:
uncorrected energy: -5.410 eV per atom
symmetry: P4/mmm, No. 123


Look up the uncorrected energy of the first one.
-3.905 eV per atom